Computed, not measured: crystalline Ac2AlCrO6 at its relaxed geometry at the PBE with a Hubbard U level of DFT.

Cell: 5.5539 5.5539 3.9506 Å, 90.00 90.00 90.00°
Last column: nearest neighbours and their distance in Å.
Atoms (fractional coordinates):
Ac1 0.0000 0.5000 0.0000  12 O 2.78-2.79
Ac2 0.5000 0.0000 0.0000  12 O 2.78-2.79
Al1 0.0000 0.0000 0.5000  6 O 1.92-1.98
Cr1 0.5000 0.5000 0.5000  6 O 1.98-2.01
O1 0.0000 0.0000 0.0000  2 Al 1.98
O2 0.2439 0.2439 0.5000  1 Al 1.92, 1 Cr 2.01
O3 0.2439 0.7561 0.5000  1 Al 1.92, 1 Cr 2.01
O4 0.5000 0.5000 0.0000  2 Cr 1.98
O5 0.7561 0.2439 0.5000  1 Al 1.92, 1 Cr 2.01
O6 0.7561 0.7561 0.5000  1 Al 1.92, 1 Cr 2.01

VASP energy ... -7.9305 eV per atom
N(E_F) ... 0.00 states/eV/f.u.